The following is a PBE-GGA calculation of a geometry-optimized CuIr3Rh12 structure, from the Alexandria database.

abc: 3.848 3.848 15.330
angles: 90.00 90.00 90.00
Element x y z (fractional)
Rh 0.000 0.500 0.876
Rh 0.000 0.500 0.626
Rh 0.500 0.000 0.876
Rh 0.500 0.500 0.750
Rh 0.500 0.000 0.626
Rh 0.500 0.500 0.500
Rh 0.500 0.000 0.124
Rh 0.500 0.500 0.250
Rh 0.500 0.500 0.000
Rh 0.000 0.500 0.124
Rh 0.000 0.500 0.374
Rh 0.500 0.000 0.374
Cu 0.000 0.000 0.000
Ir 0.000 0.000 0.753
Ir 0.000 0.000 0.247
Ir 0.000 0.000 0.500

Values from the calculation:
Mass density, g cm⁻³: 13.71
Formation energy from the elements, eV/atom: 0.012
Density of states at the Fermi level, states/eV/atom: 1.234